Entry 1:
A plane-wave DFT calculation with PBE-GGA was carried out for Y3B4Ru4 after structural relaxation.

Calculated values
Energy relative to the elements = -0.425 eV/atom
Crystal system = triclinic

abc: 3.416 4.321 11.307
angles: 96.35 98.67 90.02
Space group P-1 (No. 2)
One atom of each set of equivalent atoms:
Y (0.000, 0.000, 0.000) x1
Y (0.352, 0.912, 0.704) x2
B (0.112, 0.576, 0.225) x2
B (0.242, 0.142, 0.485) x2
Ru (0.209, 0.629, 0.419) x2
Ru (0.441, 0.464, 0.881) x2

***

Entry 2:
A plane-wave DFT calculation with PBE-GGA was carried out for Na3MnTe after structural relaxation.

Calculated values
E_form (uncorrected) = 0.4559 eV per atom
Crystal system = cubic
Energy above the most stable polymorph in this dataset = 0.2777 eV per atom

abc: 5.561 5.561 5.561
angles: 90.00 90.00 90.00
Space group Pm-3m (No. 221)
One atom of each set of equivalent atoms:
Na (0.000, 0.000, 0.500) x3
Mn (0.000, 0.000, 0.000) x1
Te (0.500, 0.500, 0.500) x1

***

Entry 3:
A plane-wave DFT calculation with PBE-GGA was carried out for BeTc4Pt after structural relaxation.

Calculated values
Energy relative to the elements = 0.501 eV/atom
Crystal system = cubic

abc: 7.160 7.160 7.160
angles: 90.00 90.00 90.00
Space group F-43m (No. 216)
One atom of each set of equivalent atoms:
Be (0.000, 0.000, 0.000) x4
Tc (0.125, 0.125, 0.375) x16
Pt (0.250, 0.250, 0.750) x4

***

Entry 4:
A plane-wave DFT calculation with PBE-GGA was carried out for KLiY2F8 after structural relaxation.

Calculated values
E_form (uncorrected) = -3.6733 eV per atom
Crystal system = monoclinic

abc: 5.952 3.908 7.601
angles: 90.00 97.36 90.00
Space group P2/m (No. 10)
One atom of each set of equivalent atoms:
K (0.000, 0.000, 0.000) x1
Li (0.000, 0.000, 0.500) x1
Y (0.458, 0.500, 0.741) x2
F (0.209, 0.000, 0.709) x2
F (0.273, 0.500, 0.465) x2
F (0.287, 0.500, 0.987) x2
F (0.360, 0.000, 0.240) x2

***

Entry 5:
A plane-wave DFT calculation with PBE-GGA was carried out for Sm7Te4Se4 after structural relaxation.

Calculated values
E_form (uncorrected) = -1.5167 eV per atom
Crystal system = tetragonal

abc: 15.195 15.195 7.420
angles: 90.00 90.00 90.00
Space group I4/mmm (No. 139)
One atom of each set of equivalent atoms:
Sm (0.000, 0.000, 0.248) x4
Sm (0.000, 0.284, 0.000) x8
Sm (0.000, 0.383, 0.500) x8
Sm (0.210, 0.210, 0.500) x8
Te (0.000, 0.175, 0.500) x8
Te (0.128, 0.128, 0.000) x8
Se (0.149, 0.351, 0.250) x16

***

Entry 6:
A plane-wave DFT calculation with PBE-GGA was carried out for YZn2CrH after structural relaxation.

Calculated values
Crystal system = tetragonal

abc: 4.298 4.298 4.267
angles: 90.00 90.00 90.00
Space group P4/mmm (No. 123)
One atom of each set of equivalent atoms:
Y (0.000, 0.000, 0.000) x1
Zn (0.000, 0.500, 0.500) x2
Cr (0.500, 0.500, 0.000) x1
H (0.000, 0.000, 0.500) x1

***

Which D(E_F) belongs to each record? In order, 5.9 7.5 7.1 0.0 7.6 2.8 states/eV/f.u..
Which electronic total energy belongs to each record? In order, -7.9889 -2.7978 -8.0374 -6.2491 -5.4859 -4.2969 eV per atom.
Which total moment belongs to each record? In order, 0.0 4.1 0.0 0.0 0.6 3.5 μB per formula unit.